# Pb4C3

Pb4C3 after structural relaxation (PBE, the Alexandria database).

a = 5.140 Å, b = 5.140 Å, c = 5.140 Å
α = 90.00°, β = 90.00°, γ = 90.00°
Element x y z (fractional)
Pb 0.000 0.000 0.000
Pb 0.000 0.500 0.500
Pb 0.500 0.000 0.500
Pb 0.500 0.500 0.000
C 0.000 0.500 0.000
C 0.000 0.000 0.500
C 0.500 0.000 0.000

## Properties
- Offset from the most stable computed form: 1.68 eV per formula unit
- Calculated formation energy: 1.60 eV/atom
- Space-group type: Pm-3m